{"formula": "Ho8As3CSe3", "functional": "GGA-PBE", "state": "relaxed", "total_energy_ev_per_atom": -6.06, "e_form_raw_ev_per_atom": -1.37, "cell": [[4.037, 2.331, 6.568], [-4.037, 2.331, 6.568], [0.000, -4.662, 6.568]], "species": ["Ho", "Ho", "Ho", "Ho", "Ho", "Ho", "Ho", "Ho", "As", "As", "As", "C", "Se", "Se", "Se"], "frac_coords": [[0.217, 0.778, 0.778], [0.222, 0.222, 0.783], [0.222, 0.783, 0.222], [0.246, 0.246, 0.246], [0.754, 0.754, 0.754], [0.778, 0.217, 0.778], [0.778, 0.778, 0.217], [0.783, 0.222, 0.222], [0.000, 0.000, 0.500], [0.000, 0.500, 0.000], [0.500, 0.000, 0.000], [0.000, 0.000, 0.000], [0.000, 0.500, 0.500], [0.500, 0.000, 0.500], [0.500, 0.500, 0.000]]}